Record 1
DFT (PBE-GGA) results for a geometry-optimized UInSe3 structure.

The structure in POSCAR format:
```
UInSe3
1.0
3.658 2.112 6.856
-3.658 2.112 6.856
0.000 -4.224 6.856
U In Se
2 2 6
Direct
0.164 0.164 0.164 U
0.836 0.836 0.836 U
0.371 0.371 0.371 In
0.629 0.629 0.629 In
0.087 0.090 0.582 Se
0.090 0.582 0.087 Se
0.418 0.910 0.913 Se
0.582 0.087 0.090 Se
0.910 0.913 0.418 Se
0.913 0.418 0.910 Se
```

Computed properties:
The calculation puts the calculated volume at 31.77 A^3/atom. The calculation puts the energy relative to the lowest polymorph listed for this composition at 0.077 eV/atom. The value obtained for the formation energy (no corrections) is -723 meV/atom.

=====

Record 2
DFT (PBE-GGA) results for a geometry-optimized KRbPaI6 structure.

The structure in POSCAR format:
```
KRbPaI6
1.0
8.702 0.000 0.000
-4.351 7.536 0.000
0.000 0.000 15.185
K Rb Pa I
2 2 2 12
Direct
0.333 0.667 0.250 K
0.667 0.333 0.750 K
0.000 0.000 0.000 Rb
0.000 0.000 0.500 Rb
0.333 0.667 0.750 Pa
0.667 0.333 0.250 Pa
0.045 0.385 0.633 I
0.045 0.661 0.867 I
0.339 0.385 0.867 I
0.339 0.955 0.633 I
0.385 0.045 0.133 I
0.385 0.339 0.367 I
0.615 0.661 0.633 I
0.615 0.955 0.867 I
0.661 0.045 0.367 I
0.661 0.615 0.133 I
0.955 0.339 0.133 I
0.955 0.615 0.367 I
```

Computed properties:
The calculation puts the calculated volume at 55.33 A^3/atom. The value obtained for the formation energy (no corrections) is -1218 meV/atom.

=====

Record 3
DFT (PBE-GGA) results for a geometry-optimized TmAl2Ir structure.

The structure in POSCAR format:
```
TmAl2Ir
1.0
0.000 3.230 3.230
3.230 0.000 3.230
3.230 3.230 0.000
Tm Al Ir
1 2 1
Direct
0.000 0.000 0.000 Tm
0.250 0.250 0.250 Al
0.750 0.750 0.750 Al
0.500 0.500 0.500 Ir
```

Computed properties:
The calculation puts the calculated volume at 16.84 A^3/atom. For the formation energy, the calculation gives -572 meV per atom.

=====

Record 4
DFT (PBE-GGA) results for a geometry-optimized NaTmIn2Au4 structure.

The structure in POSCAR format:
```
NaTmIn2Au4
1.0
2.448 1.413 8.021
-2.448 1.413 8.021
0.000 -2.826 8.021
Na Tm In Au
1 1 2 4
Direct
0.000 0.000 0.000 Na
0.500 0.500 0.500 Tm
0.255 0.255 0.255 In
0.745 0.745 0.745 In
0.127 0.127 0.127 Au
0.378 0.378 0.378 Au
0.622 0.622 0.622 Au
0.873 0.873 0.873 Au
```

Computed properties:
The calculation puts the calculated volume at 20.81 A^3/atom. For the formation energy, the calculation gives -482 meV per atom.

=====

Record 5
DFT (PBE-GGA) results for a geometry-optimized AcTb6Pr structure.

The structure in POSCAR format:
```
AcTb6Pr
1.0
5.137 0.000 0.000
0.000 5.137 0.000
0.000 0.000 10.270
Ac Tb Pr
1 6 1
Direct
0.000 0.000 0.000 Ac
0.000 0.500 0.255 Tb
0.000 0.500 0.745 Tb
0.500 0.000 0.255 Tb
0.500 0.000 0.745 Tb
0.500 0.500 0.000 Tb
0.500 0.500 0.500 Tb
0.000 0.000 0.500 Pr
```

Computed properties:
The calculation puts the calculated volume at 33.88 A^3/atom. For the formation energy, the calculation gives 36 meV per atom. The calculation puts the energy relative to the lowest polymorph listed for this composition at 0.000 eV/atom.

=====

Record 6
DFT (PBE-GGA) results for a geometry-optimized In2TePd8 structure.

The structure in POSCAR format:
```
In2TePd8
1.0
7.610 -2.348 0.000
7.610 2.348 0.000
-2.233 0.000 5.397
In Te Pd
2 1 8
Direct
0.179 0.179 0.179 In
0.821 0.821 0.821 In
0.500 0.500 0.500 Te
0.000 0.000 0.249 Pd
0.000 0.000 0.751 Pd
0.180 0.180 0.680 Pd
0.351 0.351 0.092 Pd
0.351 0.351 0.609 Pd
0.649 0.649 0.391 Pd
0.649 0.649 0.908 Pd
0.820 0.820 0.320 Pd
```

Computed properties:
The calculation puts the calculated volume at 17.53 A^3/atom. The value obtained for the formation energy (no corrections) is -376 meV/atom.

=====

- The lowest calculated volume belongs to which entry?
  TmAl2Ir